The following is a DFT calculation (PBE) of an optimized crystal structure of Ce2HgGeRu.

## Properties
density of states at the Fermi level: 1.961 states/eV/atom
V: 243.1 Å³ per cell
formation energy: -0.42 eV/atom

Lattice parameters (Å, degrees): 4.429 7.071 8.327 111.26 90.00 90.00
Last column: magnetic moment on the atom in μB.
Atoms (fractional coordinates):
Ce: 0.250 0.186 0.362  0.65
Hg: 0.250 0.713 0.328  0.01
Ge: 0.250 0.546 0.711  -0.01
Ru: 0.250 0.903 0.914  -0.06
Ru: 0.750 0.097 0.086  -0.06
Hg: 0.750 0.287 0.672  0.01
Ce: 0.250 0.269 0.953  0.26
Ce: 0.750 0.814 0.638  0.65
Ge: 0.750 0.454 0.289  -0.01
Ce: 0.750 0.731 0.047  0.26

---

The following is a DFT calculation (PBE) of an optimized crystal structure of CeScHgGe.

## Properties
density of states at the Fermi level: 2.143 states/eV/atom
V: 93.4 Å³ per cell
formation energy: -0.46 eV/atom

Lattice parameters (Å, degrees): 5.092 5.092 5.092 60.00 60.00 60.00
Last column: magnetic moment on the atom in μB.
Atoms (fractional coordinates):
Ge: 0.750 0.750 0.750  -0.01
Ce: 0.500 0.500 0.500  0.70
Hg: 0.250 0.250 0.250  0.01
Sc: 0.000 0.000 0.000  0.16

---

The following is a DFT calculation (PBE) of an optimized crystal structure of Ce5SnHgGe2.

## Properties
density of states at the Fermi level: 2.559 states/eV/atom
V: 493.9 Å³ per cell
formation energy: -0.49 eV/atom

Lattice parameters (Å, degrees): 7.913 7.913 9.670 114.15 114.15 90.00
Last column: magnetic moment on the atom in μB.
Atoms (fractional coordinates):
Hg: 0.250 0.750 0.500  0.05
Hg: 0.750 0.250 0.500  0.05
Ce: 0.671 0.171 0.743  0.88
Ce: 0.428 0.329 0.257  0.88
Sn: 0.750 0.750 0.500  -0.03
Ce: 0.171 0.072 0.743  0.88
Ce: 0.072 0.572 0.743  0.88
Sn: 0.250 0.250 0.500  -0.03
Ce: 0.000 0.000 0.000  1.09
Ce: 0.572 0.671 0.743  0.88
Ge: 0.388 0.888 0.000  -0.03
Ge: 0.612 0.112 0.000  -0.03
Ge: 0.888 0.612 0.000  -0.03
Ce: 0.928 0.428 0.257  0.88
Ce: 0.829 0.928 0.257  0.88
Ce: 0.329 0.829 0.257  0.88
Ge: 0.112 0.388 0.000  -0.03
Ce: 0.500 0.500 0.000  1.09

---

The following is a DFT calculation (PBE) of an optimized crystal structure of Ce4HgGeTe2.

## Properties
energy relative to the elements, uncorrected: -0.880 eV/atom
density of states at the Fermi level: 3.494 states/eV/atom
V: 245.5 Å³ per cell

Lattice parameters (Å, degrees): 4.379 7.682 7.708 71.23 90.00 90.00
Last column: magnetic moment on the atom in μB.
Atoms (fractional coordinates):
Ce: 0.500 0.267 0.734  0.79
Ce: 0.000 0.258 0.260  0.87
Ge: 0.000 0.500 0.500  -0.03
Ce: 0.000 0.742 0.740  0.87
Ce: 0.500 0.733 0.266  0.79
Te: 0.000 0.000 0.000  -0.02
Hg: 0.500 0.500 0.000  0.07
Te: 0.500 0.000 0.500  -0.02

---

Repeat the first record exactly.
The following is a DFT calculation (PBE) of an optimized crystal structure of Ce2HgGeRu.

## Properties
density of states at the Fermi level: 1.961 states/eV/atom
V: 243.1 Å³ per cell
formation energy: -0.42 eV/atom

Lattice parameters (Å, degrees): 4.429 7.071 8.327 111.26 90.00 90.00
Last column: magnetic moment on the atom in μB.
Atoms (fractional coordinates):
Ce: 0.250 0.186 0.362  0.65
Hg: 0.250 0.713 0.328  0.01
Ge: 0.250 0.546 0.711  -0.01
Ru: 0.250 0.903 0.914  -0.06
Ru: 0.750 0.097 0.086  -0.06
Hg: 0.750 0.287 0.672  0.01
Ce: 0.250 0.269 0.953  0.26
Ce: 0.750 0.814 0.638  0.65
Ge: 0.750 0.454 0.289  -0.01
Ce: 0.750 0.731 0.047  0.26

---

Question: Look up the V of the first one.
Answer: 243.1 Å³ per cell

---

Question: The highest density of states at the Fermi level belongs to which entry?
Answer: Ce4HgGeTe2

---

Question: Look up the density of states at the Fermi level of the fourth one.
Answer: 3.494 states/eV/atom